Entry 1:
This record from Alexandria describes a geometry-optimized Y2ZnAu structure. The functional is GGA-PBEsol.

Geometry as POSCAR:
```
Y2ZnAu
1.0
3.638 0.000 0.000
0.000 3.638 0.000
0.000 0.000 6.858
Y Zn Au
2 1 1
Direct
0.000 0.000 0.000
0.500 0.500 0.346
0.000 0.000 0.569
0.500 0.500 0.780
```

Results
* calculated density: 8.1 g/cm3
* VASP energy: -20.8 eV per cell


Entry 2:
This record from Alexandria describes a geometry-optimized Y2ZnAu structure. The functional is GGA-PBEsol.

Geometry as POSCAR:
```
Y2ZnAu
1.0
4.983 0.000 0.000
0.000 4.983 0.000
0.000 0.000 3.548
Y Zn Au
2 1 1
Direct
0.000 0.500 0.000
0.500 0.000 0.000
0.000 0.000 0.500
0.500 0.500 0.500
```

Results
* calculated density: 8.3 g/cm3
* VASP energy: -21.6 eV per cell


Entry 3:
This record from Alexandria describes a geometry-optimized Y2ZnAu structure. The functional is GGA-PBEsol.

Geometry as POSCAR:
```
Y2ZnAu
1.0
2.249 1.298 5.387
-2.249 1.298 5.387
0.000 -2.597 5.387
Y Zn Au
2 1 1
Direct
0.000 0.000 0.000
0.191 0.191 0.191
0.418 0.418 0.418
0.771 0.771 0.771
```

Results
* calculated density: 7.7 g/cm3
* VASP energy: -20.8 eV per cell


Entry 4:
This record from Alexandria describes a geometry-optimized YZn2Au2 structure. The functional is GGA-PBEsol.

Geometry as POSCAR:
```
YZn2Au2
1.0
-1.922 1.922 6.336
1.922 -1.922 6.336
1.922 1.922 -6.336
Y Zn Au
1 2 2
Direct
0.000 0.000 0.000
0.250 0.750 0.500
0.750 0.250 0.500
0.392 0.392 0.000
0.608 0.608 0.000
```

Results
* calculated density: 10.9 g/cm3
* VASP energy: -20.6 eV per cell